No. 1
Density functional theory data (PBE) for a geometry-optimized SmEuO structure.

a = 3.6521 Å, b = 3.6521 Å, c = 6.0975 Å
α = 90.00°, β = 90.00°, γ = 120.00°
Fractional coordinates of all 3 atoms:
1 Sm 0.0000 0.0000 0.0000
2 Eu 0.3333 0.6667 0.5403
3 O 0.6667 0.3333 0.7814

Output
Formation energy from raw total energies ... -39.04 kcal/mol of atoms

No. 2
Density functional theory data (PBE) for a geometry-optimized Cu2SeCl8 structure.

a = 7.5259 Å, b = 7.5259 Å, c = 6.1689 Å
α = 97.38°, β = 97.38°, γ = 67.85°
Fractional coordinates of all 11 atoms:
1 Cu 0.1943 0.1943 0.1729
2 Cu 0.8057 0.8057 0.8271
3 Se 0.0000 0.0000 0.5000
4 Cl 0.1090 0.7137 0.6994
5 Cl 0.1602 0.1602 0.7904
6 Cl 0.2863 0.8910 0.3006
7 Cl 0.3655 0.3655 0.1958
8 Cl 0.6345 0.6345 0.8042
9 Cl 0.7137 0.1090 0.6994
10 Cl 0.8398 0.8398 0.2096
11 Cl 0.8910 0.2863 0.3006

Output
Formation energy from raw total energies ... -6.68 kcal/mol of atoms

No. 3
Density functional theory data (PBE) for a geometry-optimized SbBr5 structure.

a = 3.8171 Å, b = 3.8171 Å, c = 11.1827 Å
α = 90.00°, β = 90.00°, γ = 90.00°
Fractional coordinates of all 6 atoms:
1 Sb 0.0000 0.0000 0.0000
2 Br 0.0000 0.0000 0.3258
3 Br 0.0000 0.0000 0.6742
4 Br 0.5000 0.5000 0.1455
5 Br 0.5000 0.5000 0.5000
6 Br 0.5000 0.5000 0.8545

Output
Formation energy from raw total energies ... 6.62 kcal/mol of atoms

No. 4
Density functional theory data (PBE) for a geometry-optimized AcLuAg structure.

a = 5.1385 Å, b = 5.1385 Å, c = 4.0704 Å
α = 90.00°, β = 90.00°, γ = 120.00°
Fractional coordinates of all 3 atoms:
1 Ac 0.0000 0.0000 0.0000
2 Lu 0.3333 0.6667 0.5000
3 Ag 0.6667 0.3333 0.5000

Output
ΔE to the lowest computed polymorph ... 105 meV per atom
ΔH_f (0 K) ... -0.0354 eV per atom

No. 5
Density functional theory data (PBE) for a geometry-optimized YPbBr2 structure.

a = 7.2256 Å, b = 7.2256 Å, c = 12.9271 Å
α = 90.00°, β = 90.00°, γ = 90.00°
Fractional coordinates of all 16 atoms:
1 Y 0.0000 0.0000 0.0000
2 Y 0.0000 0.5000 0.2500
3 Y 0.5000 0.0000 0.7500
4 Y 0.5000 0.5000 0.5000
5 Pb 0.0000 0.0000 0.5000
6 Pb 0.0000 0.5000 0.7500
7 Pb 0.5000 0.0000 0.2500
8 Pb 0.5000 0.5000 0.0000
9 Br 0.1740 0.2500 0.1250
10 Br 0.2500 0.6740 0.3750
11 Br 0.2500 0.8260 0.8750
12 Br 0.3260 0.2500 0.6250
13 Br 0.6740 0.7500 0.6250
14 Br 0.7500 0.1740 0.8750
15 Br 0.7500 0.3260 0.3750
16 Br 0.8260 0.7500 0.1250

Output
Formation energy from raw total energies ... -9.80 kcal/mol of atoms
ΔE to the lowest computed polymorph ... 600 meV per atom

No. 6
Density functional theory data (PBE) for a geometry-optimized InWN2 structure.

a = 3.0148 Å, b = 3.0148 Å, c = 20.8906 Å
α = 90.00°, β = 90.00°, γ = 120.00°
Fractional coordinates of all 12 atoms:
1 In 0.0000 0.0000 0.0000
2 In 0.3333 0.6667 0.6667
3 In 0.6667 0.3333 0.3333
4 W 0.0000 0.0000 0.5000
5 W 0.3333 0.6667 0.1667
6 W 0.6667 0.3333 0.8333
7 N 0.0000 0.0000 0.1115
8 N 0.0000 0.0000 0.8885
9 N 0.3333 0.6667 0.5552
10 N 0.3333 0.6667 0.7781
11 N 0.6667 0.3333 0.2219
12 N 0.6667 0.3333 0.4448

Output
Formation energy from raw total energies ... -1.54 kcal/mol of atoms

No. 7
Density functional theory data (PBE) for a geometry-optimized NdMgSe3 structure.

a = 7.3700 Å, b = 7.3700 Å, c = 6.2468 Å
α = 106.09°, β = 106.09°, γ = 107.63°
Fractional coordinates of all 10 atoms:
1 Nd 0.2303 0.2303 0.1740
2 Nd 0.7697 0.7697 0.8260
3 Mg 0.3279 0.6721 0.0000
4 Mg 0.6721 0.3279 0.0000
5 Se 0.1379 0.8238 0.2426
6 Se 0.1762 0.8621 0.7574
7 Se 0.3934 0.3934 0.6987
8 Se 0.6066 0.6066 0.3013
9 Se 0.8238 0.1379 0.2426
10 Se 0.8621 0.1762 0.7574

Output
Formation energy from raw total energies ... -26.47 kcal/mol of atoms
ΔE to the lowest computed polymorph ... 65 meV per atom

No. 8
Density functional theory data (PBE) for a geometry-optimized Tb12In6Hg structure.

a = 8.9091 Å, b = 8.9091 Å, c = 8.9091 Å
α = 101.16°, β = 101.16°, γ = 101.16°
Fractional coordinates of all 19 atoms:
1 Tb 0.0552 0.3221 0.9448
2 Tb 0.0552 0.9448 0.6779
3 Tb 0.1769 0.5600 0.4221
4 Tb 0.3221 0.9448 0.0552
5 Tb 0.4221 0.1769 0.5600
6 Tb 0.4400 0.5779 0.8231
7 Tb 0.5600 0.4221 0.1769
8 Tb 0.5779 0.8231 0.4400
9 Tb 0.6779 0.0552 0.9448
10 Tb 0.8231 0.4400 0.5779
11 Tb 0.9448 0.0552 0.3221
12 Tb 0.9448 0.6779 0.0552
13 In 0.1381 0.3070 0.6200
14 In 0.3070 0.6200 0.1381
15 In 0.3800 0.8619 0.6930
16 In 0.6200 0.1381 0.3070
17 In 0.6930 0.3800 0.8619
18 In 0.8619 0.6930 0.3800
19 Hg 0.0000 0.0000 0.0000

Output
ΔH_f (0 K) ... -0.0215 eV per atom

No. 9
Density functional theory data (PBE) for a geometry-optimized Sm2YPbN structure.

a = 4.9709 Å, b = 4.9709 Å, c = 4.8271 Å
α = 90.00°, β = 90.00°, γ = 90.00°
Fractional coordinates of all 5 atoms:
1 Sm 0.0000 0.5000 0.0000
2 Sm 0.5000 0.0000 0.0000
3 Y 0.0000 0.0000 0.5000
4 Pb 0.5000 0.5000 0.5000
5 N 0.0000 0.0000 0.0000

Output
Formation energy from raw total energies ... -21.46 kcal/mol of atoms

No. 10
Density functional theory data (PBE) for a geometry-optimized NaY4Mg5 structure.

a = 3.7720 Å, b = 3.7720 Å, c = 19.5546 Å
α = 90.00°, β = 90.00°, γ = 90.00°
Fractional coordinates of all 10 atoms:
1 Na 0.0000 0.0000 0.0000
2 Y 0.0000 0.0000 0.2094
3 Y 0.0000 0.0000 0.4030
4 Y 0.0000 0.0000 0.5970
5 Y 0.0000 0.0000 0.7906
6 Mg 0.5000 0.5000 0.1081
7 Mg 0.5000 0.5000 0.3064
8 Mg 0.5000 0.5000 0.5000
9 Mg 0.5000 0.5000 0.6936
10 Mg 0.5000 0.5000 0.8919

Output
ΔH_f (0 K) ... -0.0537 eV per atom

No. 11
Density functional theory data (PBE) for a geometry-optimized SrMg2Sn4 structure.

a = 5.9286 Å, b = 5.9286 Å, c = 14.9868 Å
α = 90.00°, β = 90.00°, γ = 90.00°
Fractional coordinates of all 14 atoms:
1 Sr 0.0000 0.0000 0.0000
2 Sr 0.5000 0.5000 0.5000
3 Mg 0.0000 0.0000 0.4015
4 Mg 0.0000 0.0000 0.5985
5 Mg 0.5000 0.5000 0.0985
6 Mg 0.5000 0.5000 0.9015
7 Sn 0.0000 0.0000 0.2125
8 Sn 0.0000 0.0000 0.7875
9 Sn 0.0000 0.5000 0.0000
10 Sn 0.0000 0.5000 0.5000
11 Sn 0.5000 0.0000 0.0000
12 Sn 0.5000 0.0000 0.5000
13 Sn 0.5000 0.5000 0.2875
14 Sn 0.5000 0.5000 0.7125

Output
ΔH_f (0 K) ... 0.4760 eV per atom

No. 12
Density functional theory data (PBE) for a geometry-optimized FeTe2Ir structure.

a = 4.6863 Å, b = 4.6863 Å, c = 3.3897 Å
α = 90.00°, β = 90.00°, γ = 90.00°
Fractional coordinates of all 4 atoms:
1 Fe 0.0000 0.0000 0.0000
2 Te 0.0000 0.5000 0.5000
3 Te 0.5000 0.0000 0.5000
4 Ir 0.5000 0.5000 0.0000

Output
Formation energy from raw total energies ... 10.33 kcal/mol of atoms
ΔE to the lowest computed polymorph ... 446 meV per atom

No. 13
Density functional theory data (PBE) for a geometry-optimized SrPt structure.

a = 4.3199 Å, b = 4.3199 Å, c = 8.7434 Å
α = 90.00°, β = 90.00°, γ = 120.00°
Fractional coordinates of all 4 atoms:
1 Sr 0.3333 0.6667 0.2122
2 Sr 0.6667 0.3333 0.7878
3 Pt 0.3333 0.6667 0.5386
4 Pt 0.6667 0.3333 0.4614

Output
ΔH_f (0 K) ... -0.2591 eV per atom

No. 14
Density functional theory data (PBE) for a geometry-optimized HoAgIr4 structure.

a = 5.2843 Å, b = 5.2843 Å, c = 5.2843 Å
α = 60.00°, β = 60.00°, γ = 60.00°
Fractional coordinates of all 6 atoms:
1 Ho 0.0000 0.0000 0.0000
2 Ag 0.2500 0.2500 0.2500
3 Ir 0.1255 0.6248 0.6248
4 Ir 0.6248 0.1255 0.6248
5 Ir 0.6248 0.6248 0.1255
6 Ir 0.6248 0.6248 0.6248

Output
ΔH_f (0 K) ... -0.2752 eV per atom

No. 15
Density functional theory data (PBE) for a geometry-optimized LaHg3O structure.

a = 6.3068 Å, b = 6.3068 Å, c = 6.3068 Å
α = 90.00°, β = 90.00°, γ = 90.00°
Fractional coordinates of all 5 atoms:
1 La 0.0000 0.0000 0.0000
2 Hg 0.0000 0.0000 0.5000
3 Hg 0.0000 0.5000 0.0000
4 Hg 0.5000 0.0000 0.0000
5 O 0.5000 0.5000 0.5000

Output
Formation energy from raw total energies ... 16.64 kcal/mol of atoms
ΔE to the lowest computed polymorph ... 726 meV per atom

No. 16
Density functional theory data (PBE) for a geometry-optimized YSnPd6 structure.

a = 5.4616 Å, b = 5.4616 Å, c = 5.4616 Å
α = 87.10°, β = 87.10°, γ = 87.10°
Fractional coordinates of all 8 atoms:
1 Y 0.0000 0.0000 0.0000
2 Sn 0.5000 0.5000 0.5000
3 Pd 0.1664 0.1664 0.5374
4 Pd 0.1664 0.5374 0.1664
5 Pd 0.4626 0.8336 0.8336
6 Pd 0.5374 0.1664 0.1664
7 Pd 0.8336 0.4626 0.8336
8 Pd 0.8336 0.8336 0.4626

Output
ΔE to the lowest computed polymorph ... 494 meV per atom
ΔH_f (0 K) ... -0.1869 eV per atom

No. 17
Density functional theory data (PBE) for a geometry-optimized CuTc2HgRu structure.

a = 4.5074 Å, b = 4.5074 Å, c = 4.5203 Å
α = 90.00°, β = 90.00°, γ = 90.00°
Fractional coordinates of all 5 atoms:
1 Cu 0.0000 0.0000 0.0000
2 Tc 0.0000 0.5000 0.0000
3 Tc 0.5000 0.0000 0.0000
4 Hg 0.5000 0.5000 0.5000
5 Ru 0.0000 0.0000 0.5000

Output
ΔH_f (0 K) ... 1.6048 eV per atom

No. 18
Density functional theory data (PBE) for a geometry-optimized MnP2AuCl structure.

a = 4.8003 Å, b = 4.8003 Å, c = 5.1900 Å
α = 90.00°, β = 90.00°, γ = 90.00°
Fractional coordinates of all 5 atoms:
1 Mn 0.0000 0.0000 0.0000
2 P 0.0000 0.5000 0.5000
3 P 0.5000 0.0000 0.5000
4 Au 0.5000 0.5000 0.5000
5 Cl 0.5000 0.5000 0.0000

Output
Formation energy from raw total energies ... 21.53 kcal/mol of atoms
ΔE to the lowest computed polymorph ... 579 meV per atom